*one*
Entry from Alexandria via LeMat-Bulk: crystalline KPuN2 at its relaxed geometry (PBE).

```
KPuN2
1.0
-1.0273 -2.0019 2.6986
3.4233 0.4108 -0.6794
-1.7912 5.4630 3.3707
K Pu N
1 1 2
Direct
0.5000 0.5000 0.0000 K
0.0000 0.5000 0.5000 Pu
0.2809 0.0618 0.3425 N
0.7191 0.9382 0.6575 N
```

The density of states at the Fermi level comes out at 6.22 states/eV/cell. Its mass density is 7.61 g/cm3. The space group is R-3m, No. 166.


*two*
Entry from Alexandria via LeMat-Bulk: crystalline KPuN2 at its relaxed geometry (PBE).

```
KPuN2
1.0
-0.2492 -3.3698 0.9274
-0.2886 -2.4776 -2.4608
6.2398 -2.4831 -0.7264
K Pu N
1 1 2
Direct
0.4968 0.4968 0.5097 K
0.6672 0.6672 0.9984 Pu
0.0534 0.0534 0.8397 N
0.2826 0.2826 0.1522 N
```

The density of states at the Fermi level comes out at 6.08 states/eV/cell. Its mass density is 7.54 g/cm3. The space group is R3m, No. 160.


Referenced to the most stable arrangement, the calculated values in kJ/mol of atoms are *one* 0.0; *two* 3.3.


*one*
Entry from Alexandria via LeMat-Bulk: crystalline KRbN2 at its relaxed geometry (PBE).

```
KRbN2
1.0
-3.5880 -2.6687 0.1584
4.8512 -5.5716 0.8500
11.9995 2.7018 8.3719
K Rb N
2 2 4
Direct
0.8106 0.8852 0.7260 K
0.1894 0.1148 0.2740 K
0.6513 0.6176 0.2630 Rb
0.3487 0.3824 0.7370 Rb
0.9424 0.1677 0.5457 N
0.0576 0.8323 0.4543 N
0.4379 0.7026 0.5372 N
0.5621 0.2974 0.4628 N
```

The density of states at the Fermi level comes out at 5.48 states/eV/cell. Its mass density is 1.88 g/cm3. The space group is P-1, No. 2.


*two*
Entry from Alexandria via LeMat-Bulk: crystalline KRbN2 at its relaxed geometry (PBE).

```
KRbN2
1.0
3.4619 -3.4933 -0.9747
-1.3603 -4.3825 -2.0204
1.2244 -1.0607 -4.7449
K Rb N
1 1 2
Direct
0.0000 0.0000 0.0000 K
0.5000 0.5000 0.5000 Rb
0.2500 0.2500 0.2500 N
0.7500 0.7500 0.7500 N
```

The density of states at the Fermi level comes out at 3.22 states/eV/cell. Its mass density is 2.84 g/cm3. The space group is Fm-3m, No. 225.


Referenced to the most stable arrangement, the calculated values in kJ/mol of atoms are *one* 0.0; *two* 139.4.